A plane-wave DFT calculation with GGA-PBE was carried out for a relaxed Ba2VPb2 crystal.

The space group is I4/mmm (No. 139) and the conventional cell measures 4.4479, 4.4479 and 20.5585 Å, with angles of 90.00, 90.00 and 90.00 degrees. Symmetry generates all atoms from Ba at (0.0000, 0.0000, 0.1005), V at (0.0000, 0.0000, 0.5000) and Pb at (0.0000, 0.5000, 0.2500).

For the calculated formation energy, the calculation gives 1.9 eV per formula unit. The value obtained for the size of the total moment is 4.822 μB/f.u. The density of states at the Fermi level is 4.08 states/eV/f.u.